Y2TaIr: optimized geometry, PBE.

## Properties
Formation enthalpy at 0 K (kcal/mol of atoms): 2.65
Spin magnetization (μB per atom): 0.000
Relative energy among the computed polymorphs (meV per atom): 357
V (Å³/atom): 21.30

a b c (Å): 3.7795 4.8804 4.6195
angles (deg): 90.00 90.00 90.00
Last column: nearest neighbours and their distance in Å.
Fractional positions:
Y 0.5000 0.5000 0.0000  4 Ta 2.98, 4 Y 3.09
Y 0.0000 0.0000 0.0000  4 Ir 2.98, 4 Y 3.09
Ta 0.0000 0.5000 0.5000  4 Y 2.98, 4 Ir 3.09
Ir 0.5000 0.0000 0.5000  4 Y 2.98, 4 Ta 3.09